No. 1
Entry from the Alexandria database: a geometry-optimized TiMoAs2 structure (PBE-GGA).

abc: 7.4554 3.2944 5.6826
angles: 90.00 104.76 90.00
Closest atoms and distances in Å follow each position.
Space group C2/m (No. 12)
Inequivalent atoms, fractional coordinates:
Ti: 0.0000 0.0000 0.0000  6 As 2.64-2.65
Mo: 0.0000 0.5000 0.5000  6 As 2.58-2.59
As: 0.2492 0.0000 0.7393  3 Mo 2.58-2.59, 3 Ti 2.64-2.65

Formation energy   -226 meV/atom
Energy above the lowest structure with this stoichiometry   0.364 eV per atom
Density   7.23 g/cm3
Magnetic moment   0.000 Bohr magnetons per cell
Raw total energy   -57.9 eV per cell
Volume   67.5 Å³/f.u.

No. 2
Entry from the Alexandria database: a geometry-optimized TiMo2As structure (PBE-GGA).

abc: 7.7149 7.7149 4.8757
angles: 90.00 90.00 90.00
Closest atoms and distances in Å follow each position.
Space group I-42d (No. 122)
Inequivalent atoms, fractional coordinates:
Ti: 0.0000 0.0000 0.0000  2 As 2.44
Mo: 0.1770 0.2500 0.6250  2 As 2.44, 2 Mo 2.69
As: 0.0000 0.0000 0.5000  2 Ti 2.44, 4 Mo 2.44

Formation energy   387 meV/atom
Density   7.20 g/cm3
Magnetic moment   0.000 Bohr magnetons per cell
Raw total energy   -130.6 eV per cell
Volume   72.6 Å³/f.u.

No. 3
Entry from the Alexandria database: a geometry-optimized TiMoAs2 structure (PBE-GGA).

abc: 3.3935 6.4874 6.1123
angles: 90.00 90.00 90.00
Closest atoms and distances in Å follow each position.
Space group Pmc2_1 (No. 26)
Inequivalent atoms, fractional coordinates:
Ti: 0.0000 0.0656 0.0000  6 As 2.51-2.78
Mo: 0.5000 0.4379 0.9869  6 As 2.53-2.70
As: 0.0000 0.3222 0.6916  2 Ti 2.51-2.78, 4 Mo 2.59-2.62
As: 0.5000 0.1836 0.3014  2 Mo 2.53-2.70, 4 Ti 2.62-2.64

Formation energy   -591 meV/atom
Energy above the lowest structure with this stoichiometry   0.000 eV per atom
Density   7.25 g/cm3
Magnetic moment   0.000 Bohr magnetons per cell
Raw total energy   -60.8 eV per cell
Volume   67.3 Å³/f.u.

No. 4
Entry from the Alexandria database: a geometry-optimized TiMoAs2 structure (PBE-GGA).

abc: 3.3432 3.3432 6.8607
angles: 90.00 90.00 120.00
Closest atoms and distances in Å follow each position.
Space group P-3m1 (No. 164)
Inequivalent atoms, fractional coordinates:
Ti: 0.0000 0.0000 0.0000  6 As 2.59
Mo: 0.0000 0.0000 0.5000  6 As 2.58
As: 0.3333 0.6667 0.2508  3 Mo 2.58, 3 Ti 2.59

Formation energy   -549 meV/atom
Energy above the lowest structure with this stoichiometry   0.042 eV per atom
Density   7.34 g/cm3
Magnetic moment   0.000 Bohr magnetons per cell
Raw total energy   -30.2 eV per cell
Volume   66.4 Å³/f.u.

No. 5
Entry from the Alexandria database: a geometry-optimized TiMo2As2 structure (PBE-GGA).

abc: 7.0525 7.0525 3.2052
angles: 90.00 90.00 90.00
Closest atoms and distances in Å follow each position.
Space group P4/mbm (No. 127)
Inequivalent atoms, fractional coordinates:
Ti: 0.0000 0.0000 0.0000  4 As 2.68
Mo: 0.1445 0.3555 0.5000  6 As 2.58-2.64, 1 Mo 2.88
As: 0.1528 0.6528 0.0000  6 Mo 2.58-2.64, 2 Ti 2.68

Formation energy   -173 meV/atom
Density   8.12 g/cm3
Magnetic moment   0.000 Bohr magnetons per cell
Raw total energy   -79.4 eV per cell
Volume   79.7 Å³/f.u.

No. 6
Entry from the Alexandria database: a geometry-optimized TiMoAs2 structure (PBE-GGA).

abc: 3.4157 3.4157 20.1096
angles: 90.00 90.00 120.00
Closest atoms and distances in Å follow each position.
Space group R3m (No. 160, hexagonal axes)
Inequivalent atoms, fractional coordinates:
Ti: 0.0000 0.0000 0.0000  6 As 2.59-2.62
Mo: 0.0000 0.0000 0.8345  6 As 2.57
As: 0.0000 0.0000 0.4189  3 Mo 2.57, 3 Ti 2.62
As: 0.0000 0.0000 0.5832  3 Mo 2.57, 3 Ti 2.59

Formation energy   -420 meV/atom
Energy above the lowest structure with this stoichiometry   0.171 eV per atom
Density   7.20 g/cm3
Magnetic moment   0.000 Bohr magnetons per cell
Raw total energy   -89.1 eV per cell
Volume   67.7 Å³/f.u.